Entry 1:
The following is a PBE-GGA calculation of an optimized crystal structure of Nd2Ho2O5, from the Alexandria database.

Structure (CIF):
```
data_Nd2Ho2O5
_chemical_formula_sum 'Nd2 Ho2 O5'
_cell_length_a 3.859
_cell_length_b 3.859
_cell_length_c 11.155
_cell_angle_alpha 90.00
_cell_angle_beta 90.00
_cell_angle_gamma 90.00
_symmetry_space_group_name_H-M 'P 1'
_symmetry_Int_Tables_number 1
_symmetry_space_group_name_Hall 'P 1'
loop_
_atom_site_label
_atom_site_type_symbol
_atom_site_fract_x
_atom_site_fract_y
_atom_site_fract_z
_atom_site_occupancy
O1 O 0.500 0.000 0.876 1
Ho1 Ho 0.000 0.000 0.000 1
O2 O 0.500 0.000 0.124 1
Nd1 Nd 0.500 0.500 0.777 1
O3 O 0.500 0.500 0.500 1
O4 O 0.000 0.500 0.124 1
O5 O 0.000 0.500 0.876 1
Ho2 Ho 0.000 0.000 0.500 1
Nd2 Nd 0.500 0.500 0.223 1
```

Summary:
raw total energy: -7.588 eV/atom
total moment: 0.00 μB/atom
crystal system: tetragonal
DOS(E_F): 3.08 states/eV/cell
ΔE_f (raw): -2.7569 eV per atom

Entry 2:
The following is a PBE-GGA calculation of an optimized crystal structure of NdHoO2, from the Alexandria database.

Structure (CIF):
```
data_NdHoO2
_chemical_formula_sum 'Nd1 Ho1 O2'
_cell_length_a 3.596
_cell_length_b 3.596
_cell_length_c 7.048
_cell_angle_alpha 75.22
_cell_angle_beta 75.22
_cell_angle_gamma 60.00
_symmetry_space_group_name_H-M 'P 1'
_symmetry_Int_Tables_number 1
_symmetry_space_group_name_Hall 'P 1'
loop_
_atom_site_label
_atom_site_type_symbol
_atom_site_fract_x
_atom_site_fract_y
_atom_site_fract_z
_atom_site_occupancy
O1 O 0.885 0.885 0.345 1
Nd1 Nd 0.000 0.000 0.000 1
O2 O 0.115 0.115 0.655 1
Ho1 Ho 0.500 0.500 0.500 1
```

Summary:
raw total energy: -7.651 eV/atom
total moment: 0.00 μB/atom
crystal system: trigonal
DOS(E_F): 0.28 states/eV/cell
ΔE_f (raw): -2.8359 eV per atom